NbCuPd2: optimized geometry, PBE.

Values from the calculation:
Formation enthalpy at 0 K: -0.082 eV/atom

a = 6.2477 Å, b = 6.2477 Å, c = 6.2477 Å
α = 90.00°, β = 90.00°, γ = 90.00°
Last column: nearest neighbours and their distance in Å.
Positions (direct):
Nb: 0.0000 0.0000 0.0000  4 Pd 2.71, 4 Cu 2.71
Nb: 0.0000 0.5000 0.5000  4 Pd 2.71, 4 Cu 2.71
Nb: 0.5000 0.0000 0.5000  4 Pd 2.71, 4 Cu 2.71
Nb: 0.5000 0.5000 0.0000  4 Pd 2.71, 4 Cu 2.71
Cu: 0.2500 0.2500 0.2500  4 Nb 2.71, 4 Pd 2.71
Cu: 0.2500 0.7500 0.7500  4 Nb 2.71, 4 Pd 2.71
Cu: 0.7500 0.2500 0.7500  4 Nb 2.71, 4 Pd 2.71
Cu: 0.7500 0.7500 0.2500  4 Nb 2.71, 4 Pd 2.71
Pd: 0.0000 0.0000 0.5000  4 Cu 2.71, 4 Pd 2.71
Pd: 0.0000 0.5000 0.0000  4 Cu 2.71, 4 Pd 2.71
Pd: 0.2500 0.2500 0.7500  4 Pd 2.71, 4 Nb 2.71
Pd: 0.2500 0.7500 0.2500  4 Pd 2.71, 4 Nb 2.71
Pd: 0.5000 0.0000 0.0000  4 Cu 2.71, 4 Pd 2.71
Pd: 0.5000 0.5000 0.5000  4 Cu 2.71, 4 Pd 2.71
Pd: 0.7500 0.2500 0.2500  4 Pd 2.71, 4 Nb 2.71
Pd: 0.7500 0.7500 0.7500  4 Pd 2.71, 4 Nb 2.71

NbCuPd: optimized geometry, PBE.

Values from the calculation:
Formation enthalpy at 0 K: 0.319 eV/atom
Polymorph energy (0 for the lowest one): 0 meV per atom

a = 5.9909 Å, b = 5.9909 Å, c = 5.9909 Å
α = 90.00°, β = 90.00°, γ = 90.00°
Last column: nearest neighbours and their distance in Å.
Positions (direct):
Nb: 0.0000 0.0000 0.0000  4 Pd 2.59
Nb: 0.0000 0.5000 0.5000  4 Pd 2.59
Nb: 0.5000 0.0000 0.5000  4 Pd 2.59
Nb: 0.5000 0.5000 0.0000  4 Pd 2.59
Cu: 0.0000 0.0000 0.5000  4 Pd 2.59
Cu: 0.0000 0.5000 0.0000  4 Pd 2.59
Cu: 0.5000 0.0000 0.0000  4 Pd 2.59
Cu: 0.5000 0.5000 0.5000  4 Pd 2.59
Pd: 0.2500 0.2500 0.7500  4 Nb 2.59, 4 Cu 2.59
Pd: 0.2500 0.7500 0.2500  4 Nb 2.59, 4 Cu 2.59
Pd: 0.7500 0.2500 0.2500  4 Nb 2.59, 4 Cu 2.59
Pd: 0.7500 0.7500 0.7500  4 Nb 2.59, 4 Cu 2.59

NbCuPd: optimized geometry, PBE.

Values from the calculation:
Formation enthalpy at 0 K: 0.508 eV/atom
Polymorph energy (0 for the lowest one): 189 meV per atom

a = 6.0352 Å, b = 6.0352 Å, c = 6.0352 Å
α = 90.00°, β = 90.00°, γ = 90.00°
Last column: nearest neighbours and their distance in Å.
Positions (direct):
Nb: 0.0000 0.0000 0.0000  4 Cu 2.61, 4 Pd 2.61
Nb: 0.0000 0.5000 0.5000  4 Cu 2.61, 4 Pd 2.61
Nb: 0.5000 0.0000 0.5000  4 Cu 2.61, 4 Pd 2.61
Nb: 0.5000 0.5000 0.0000  4 Cu 2.61, 4 Pd 2.61
Cu: 0.2500 0.2500 0.7500  4 Nb 2.61
Cu: 0.2500 0.7500 0.2500  4 Nb 2.61
Cu: 0.7500 0.2500 0.2500  4 Nb 2.61
Cu: 0.7500 0.7500 0.7500  4 Nb 2.61
Pd: 0.2500 0.2500 0.2500  4 Nb 2.61
Pd: 0.2500 0.7500 0.7500  4 Nb 2.61
Pd: 0.7500 0.2500 0.7500  4 Nb 2.61
Pd: 0.7500 0.7500 0.2500  4 Nb 2.61

NbCuPd2: optimized geometry, PBE.

Values from the calculation:
Formation enthalpy at 0 K: -0.082 eV/atom

a = 6.2524 Å, b = 6.2524 Å, c = 6.2524 Å
α = 90.00°, β = 90.00°, γ = 90.00°
Last column: nearest neighbours and their distance in Å.
Positions (direct):
Nb: 0.0000 0.0000 0.0000  4 Cu 2.71, 4 Pd 2.71
Nb: 0.0000 0.5000 0.5000  4 Cu 2.71, 4 Pd 2.71
Nb: 0.5000 0.0000 0.5000  4 Cu 2.71, 4 Pd 2.71
Nb: 0.5000 0.5000 0.0000  4 Cu 2.71, 4 Pd 2.71
Cu: 0.2500 0.2500 0.2500  4 Pd 2.71, 4 Nb 2.71
Cu: 0.2500 0.7500 0.7500  4 Pd 2.71, 4 Nb 2.71
Cu: 0.7500 0.2500 0.7500  4 Pd 2.71, 4 Nb 2.71
Cu: 0.7500 0.7500 0.2500  4 Nb 2.71, 4 Pd 2.71
Pd: 0.0000 0.0000 0.5000  4 Pd 2.71, 4 Cu 2.71
Pd: 0.0000 0.5000 0.0000  4 Pd 2.71, 4 Cu 2.71
Pd: 0.2500 0.2500 0.7500  4 Nb 2.71, 4 Pd 2.71
Pd: 0.2500 0.7500 0.2500  4 Nb 2.71, 4 Pd 2.71
Pd: 0.5000 0.0000 0.0000  4 Pd 2.71, 4 Cu 2.71
Pd: 0.5000 0.5000 0.5000  4 Pd 2.71, 4 Cu 2.71
Pd: 0.7500 0.2500 0.2500  4 Nb 2.71, 4 Pd 2.71
Pd: 0.7500 0.7500 0.7500  4 Nb 2.71, 4 Pd 2.71